[1]
First-principles (PBE) data for an optimized crystal structure of LiC, as listed in Alexandria.

abc: 2.047 2.047 3.310
angles: 90.00 90.00 90.00
Element x y z (fractional)
Li (0.000, 0.000, 0.500)
C (0.500, 0.500, 0.000)

- Energy relative to the elements: 1243.9 meV/atom
- Polymorph energy (0 for the lowest one): 2.45 eV/f.u.
- Space group: No. 123


[2]
First-principles (PBE) data for an optimized crystal structure of Sb2TeIrPb, as listed in Alexandria.

abc: 5.676 5.676 5.642
angles: 90.00 90.00 90.00
Last column: magnetic moment on the atom in μB.
Element x y z (fractional)
Pb (0.000, 0.000, 0.000)  0.00
Ir (0.500, 0.500, 0.500)  1.50
Sb (0.500, 0.000, 0.000)  -0.08
Sb (0.000, 0.500, 0.000)  -0.08
Te (0.000, 0.000, 0.500)  0.03

- Energy relative to the elements, uncorrected: 1.788 eV/atom
- Polymorph energy (0 for the lowest one): 7.38 eV/f.u.
- Space group: No. 123


[3]
First-principles (PBE) data for an optimized crystal structure of Nd2Sm2Se3S2, as listed in Alexandria.

abc: 5.725 5.725 8.281
angles: 110.22 110.22 90.00
Element x y z (fractional)
S (0.403, 0.403, 0.806)
S (0.597, 0.597, 0.194)
Se (0.750, 0.250, 0.500)
Se (0.250, 0.750, 0.500)
Se (0.000, 0.000, 0.000)
Nd (0.214, 0.214, 0.428)
Nd (0.786, 0.786, 0.572)
Sm (0.000, 0.500, 0.000)
Sm (0.500, 0.000, 0.000)

- Energy relative to the elements, uncorrected: -1.607 eV/atom
- Space group: No. 139


[4]
First-principles (PBE) data for an optimized crystal structure of RbNi3Pb, as listed in Alexandria.

abc: 4.773 4.773 4.773
angles: 90.00 90.00 90.00
Element x y z (fractional)
Pb (0.500, 0.500, 0.500)
Ni (0.000, 0.500, 0.000)
Ni (0.500, 0.000, 0.000)
Ni (0.000, 0.000, 0.500)
Rb (0.000, 0.000, 0.000)

- Energy relative to the elements: 1831.2 meV/atom
- Polymorph energy (0 for the lowest one): 4.52 eV/f.u.
- Space group: No. 221


[5]
First-principles (PBE) data for an optimized crystal structure of SrPb2W, as listed in Alexandria.

abc: 6.595 6.595 6.595
angles: 151.96 124.15 63.64
Element x y z (fractional)
Sr (0.750, 0.250, 0.500)
W (0.250, 0.750, 0.500)
Pb (0.465, 0.465, 0.000)
Pb (0.035, 0.035, 0.000)

- Energy relative to the elements: 580.5 meV/atom
- Polymorph energy (0 for the lowest one): 0.52 eV/f.u.
- Space group: No. 71


[6]
First-principles (PBE) data for an optimized crystal structure of NpU2N3, as listed in Alexandria.

abc: 3.436 3.436 7.686
angles: 102.92 102.92 89.98
Last column: magnetic moment on the atom in μB.
Element x y z (fractional)
U (0.100, 0.101, 0.206)  1.02
U (0.768, 0.770, 0.542)  1.02
N (0.602, 0.604, 0.210)  -0.07
N (0.266, 0.267, 0.538)  -0.07
N (0.934, 0.936, 0.874)  -0.12
Np (0.434, 0.436, 0.874)  2.98

- Energy relative to the elements, uncorrected: -1.253 eV/atom
- Space group: No. 139


[7]
First-principles (PBE) data for an optimized crystal structure of Mg3BrO, as listed in Alexandria.

abc: 4.599 4.599 4.599
angles: 90.00 90.00 90.00
Element x y z (fractional)
Br (0.500, 0.500, 0.500)
Mg (0.500, 0.000, 0.000)
Mg (0.000, 0.000, 0.500)
Mg (0.000, 0.500, 0.000)
O (0.000, 0.000, 0.000)

- Energy relative to the elements, uncorrected: -0.748 eV/atom
- Polymorph energy (0 for the lowest one): 0.00 eV/f.u.
- Space group: No. 221


[8]
First-principles (PBE) data for an optimized crystal structure of CdPtIF2, as listed in Alexandria.

abc: 4.138 6.222 4.138
angles: 90.00 90.00 90.00
Element x y z (fractional)
F (0.000, 0.000, 0.500)
F (0.500, 0.000, 0.000)
Cd (0.000, 0.000, 0.000)
I (0.500, 0.500, 0.500)
Pt (0.000, 0.500, 0.000)

- Energy relative to the elements, uncorrected: -0.854 eV/atom
- Space group: No. 123